(1)
Ho5TmThIn2: relaxed, PBE.

Values from the calculation:
- space-group type = I4/mcm, No. 140
- M_tot (μB per cell) = 0.00
- electronic total energy (eV per atom) = -4.4519

Cell: 7.574 7.574 11.067 Å, 110.01 110.01 90.00°
Fractional positions:
Ho (0.079, 0.579, 0.750)
Tm (0.750, 0.250, 0.500)
Ho (0.500, 0.500, 0.000)
In (0.376, 0.876, 0.000)
Ho (0.579, 0.671, 0.750)
Th (0.250, 0.250, 0.500)
Ho (0.329, 0.829, 0.250)
Ho (0.171, 0.079, 0.750)
Ho (0.921, 0.421, 0.250)
Tm (0.250, 0.750, 0.500)
In (0.624, 0.124, 0.000)
Ho (0.421, 0.329, 0.250)
In (0.124, 0.376, 0.000)
Ho (0.671, 0.171, 0.750)
Ho (0.829, 0.921, 0.250)
Ho (0.000, 0.000, 0.000)
Th (0.750, 0.750, 0.500)
In (0.876, 0.624, 0.000)

(2)
Sm7DyHo2: relaxed, PBE.

Values from the calculation:
- space-group type = Cmmm, No. 65
- M_tot (μB per cell) = 0.00
- energy relative to the lowest polymorph listed for this composition (eV per atom) = 0.645

Cell: 5.556 9.388 9.388 Å, 124.29 90.00 90.00°
Fractional positions:
Sm (0.500, 0.066, 0.290)
Sm (0.000, 0.788, 0.212)
Dy (0.000, 0.000, 0.000)
Sm (0.500, 0.500, 0.500)
Sm (0.500, 0.710, 0.934)
Ho (0.500, 0.295, 0.705)
Sm (0.000, 0.212, 0.788)
Ho (0.500, 0.705, 0.295)
Sm (0.500, 0.934, 0.710)
Sm (0.500, 0.290, 0.066)

(3)
Sc3FeC3: relaxed, PBE.

Values from the calculation:
- space-group type = Cmcm, No. 63
- M_tot (μB per cell) = 0.63
- electronic total energy (eV per atom) = -8.2629

Cell: 4.689 6.288 6.290 Å, 100.22 90.00 90.00°
Site moments in Bohr magnetons follow the coordinates.
Fractional positions:
C (0.250, 0.121, 0.879)  0.00
C (0.250, 0.167, 0.418)  0.00
Fe (0.750, 0.694, 0.306)  0.40
Sc (0.750, 0.108, 0.892)  -0.02
Sc (0.250, 0.839, 0.598)  -0.01
C (0.750, 0.833, 0.582)  0.00
Sc (0.250, 0.402, 0.161)  -0.01
C (0.750, 0.879, 0.121)  0.00
Sc (0.750, 0.161, 0.402)  -0.01
Sc (0.750, 0.598, 0.839)  -0.01
Fe (0.250, 0.306, 0.694)  0.40
C (0.750, 0.418, 0.167)  0.00
Sc (0.250, 0.892, 0.108)  -0.02
C (0.250, 0.582, 0.833)  0.00

(4)
BaSr3Yb2Re2O12: relaxed, PBE.

Values from the calculation:
- space-group type = R3m, No. 160
- M_tot (μB per cell) = 0.49
- electronic total energy (eV per atom) = -7.2222

Cell: 10.224 10.224 10.224 Å, 33.59 33.59 33.59°
Site moments in Bohr magnetons follow the coordinates.
Fractional positions:
Ba (0.375, 0.375, 0.375)  0.00
Yb (0.250, 0.250, 0.250)  -0.02
Re (0.500, 0.500, 0.500)  0.21
O (0.114, 0.652, 0.114)  0.00
O (0.619, 0.619, 0.149)  0.00
O (0.850, 0.384, 0.384)  0.00
O (0.384, 0.384, 0.850)  0.00
O (0.652, 0.114, 0.114)  0.00
O (0.883, 0.349, 0.883)  0.00
O (0.619, 0.149, 0.619)  0.00
Yb (0.750, 0.750, 0.750)  -0.02
O (0.384, 0.850, 0.384)  0.00
O (0.883, 0.883, 0.349)  0.00
O (0.149, 0.619, 0.619)  0.00
O (0.114, 0.114, 0.652)  0.00
Sr (0.127, 0.127, 0.127)  0.00
O (0.349, 0.883, 0.883)  0.00
Re (0.000, 0.000, 0.000)  0.18
Sr (0.623, 0.623, 0.623)  0.00
Sr (0.876, 0.876, 0.876)  0.00

(5)
NdPuMg2N4: relaxed, PBE.

Values from the calculation:
- space-group type = P2/m, No. 10
- M_tot (μB per cell) = 3.00
- electronic total energy (eV per atom) = -7.8850

Cell: 3.434 5.625 6.024 Å, 68.68 90.00 90.00°
Site moments in Bohr magnetons follow the coordinates.
Fractional positions:
Mg (0.500, 0.000, 0.500)  0.00
N (0.500, 0.245, 0.742)  -0.13
Nd (0.500, 0.500, 0.000)  0.03
N (0.500, 0.755, 0.258)  -0.13
Pu (0.000, 0.500, 0.500)  3.58
N (0.000, 0.265, 0.289)  -0.13
Mg (0.000, 0.000, 0.000)  0.00
N (0.000, 0.735, 0.711)  -0.13

(6)
CaNiGe3: relaxed, PBE.

Values from the calculation:
- space-group type = Pm-3m, No. 221
- M_tot (μB per cell) = 0.00
- electronic total energy (eV per atom) = -4.4228

Cell: 4.712 4.712 4.712 Å, 90.00 90.00 90.00°
Fractional positions:
Ca (0.500, 0.500, 0.500)
Ge (0.000, 0.000, 0.500)
Ge (0.000, 0.500, 0.000)
Ge (0.500, 0.000, 0.000)
Ni (0.000, 0.000, 0.000)

(7)
LiCaAgGe2: relaxed, PBE.

Values from the calculation:
- space-group type = I-4m2, No. 119
- M_tot (μB per cell) = 0.00
- electronic total energy (eV per atom) = -3.6115

Cell: 4.232 4.232 6.375 Å, 109.38 109.38 90.00°
Fractional positions:
Li (0.750, 0.250, 0.500)
Ge (0.607, 0.607, 0.215)
Ca (0.000, 0.000, 0.000)
Ag (0.250, 0.750, 0.500)
Ge (0.393, 0.393, 0.785)

(8)
LiTeO2F: relaxed, PBE.

Values from the calculation:
- space-group type = P2_1/m, No. 11
- M_tot (μB per cell) = 0.00
- electronic total energy (eV per atom) = -5.0443

Cell: 4.082 6.645 6.763 Å, 56.03 90.00 90.00°
Fractional positions:
F (0.750, 0.410, 0.196)
Li (0.250, 0.862, 0.477)
O (0.750, 0.937, 0.935)
O (0.250, 0.063, 0.065)
Te (0.250, 0.819, 0.952)
Te (0.750, 0.181, 0.048)
O (0.250, 0.062, 0.627)
Li (0.750, 0.138, 0.523)
O (0.750, 0.938, 0.373)
F (0.250, 0.590, 0.804)

Look up the M_tot of the second one. 0.00 μB per cell